A plane-wave DFT calculation with PBEsol was carried out for PrNi5 after structural relaxation.

Structure (extended XYZ):
```
6
Lattice="4.895 0.000 0.000 -2.447 4.239 0.000 0.000 0.000 3.907" Properties=species:S:1:pos:R:3 pbc="T T T"
Pr 0.000 0.000 0.000
Ni -1.224 2.120 1.954
Ni 0.000 2.826 0.000
Ni 2.447 0.000 1.954
Ni 1.224 2.120 1.954
Ni 2.447 1.413 0.000
```

## Properties
**Space group**: P6/mmm, No. 191
**E_form**: -253 meV/atom
**Volume**: 13.51 Å³ per atom
**Total magnetic moment**: 1.3 μB/cell


A plane-wave DFT calculation with PBEsol was carried out for FeMoCl2 after structural relaxation.

Structure (extended XYZ):
```
4
Lattice="2.881 0.000 0.000 0.000 2.881 0.000 0.000 0.000 7.848" Properties=species:S:1:pos:R:3 pbc="T T T"
Fe 0.000 0.000 0.000
Mo 1.440 1.440 1.742
Cl 0.000 0.000 3.292
Cl 1.440 1.440 6.455
```

## Properties
**Space group**: P4mm, No. 99
**Excess energy over the best structure of this formula in the dataset**: 0.0 kJ/mol of atoms
**Volume**: 16.29 Å³ per atom
**Total magnetic moment**: 2.1 μB/cell


A plane-wave DFT calculation with PBEsol was carried out for LaBe2AuF after structural relaxation.

Structure (extended XYZ):
```
5
Lattice="5.810 0.000 0.000 0.000 5.810 0.000 0.000 0.000 5.506" Properties=species:S:1:pos:R:3 pbc="T T T"
La 0.000 0.000 0.000
Be 0.000 2.905 0.000
Be 2.905 0.000 0.000
Au 0.000 0.000 2.753
F 2.905 2.905 2.753
```

## Properties
**Space group**: P4/mmm, No. 123
**Volume**: 37.17 Å³ per atom
**Total DFT energy (no corrections)**: -2.495 eV per atom
**Total magnetic moment**: 0.0 μB/cell


A plane-wave DFT calculation with PBEsol was carried out for DyCr2Si2C after structural relaxation.

Structure (extended XYZ):
```
6
Lattice="3.915 0.000 0.000 0.000 3.915 0.000 0.000 0.000 5.177" Properties=species:S:1:pos:R:3 pbc="T T T"
Dy 0.000 0.000 0.000
Cr 0.000 1.957 2.589
Cr 1.957 0.000 2.589
Si 1.957 1.957 1.190
Si 1.957 1.957 3.988
C 0.000 0.000 2.589
```

## Properties
**Space group**: P4/mmm, No. 123
**Volume**: 13.22 Å³ per atom
**Total DFT energy (no corrections)**: -8.306 eV per atom
**Total magnetic moment**: 0.9 μB/cell


A plane-wave DFT calculation with PBEsol was carried out for ZrCuSCl2 after structural relaxation.

Structure (extended XYZ):
```
5
Lattice="4.915 0.000 0.000 0.000 4.915 0.000 0.000 0.000 4.922" Properties=species:S:1:pos:R:3 pbc="T T T"
Zr 0.000 0.000 0.000
Cu 2.457 2.457 2.461
S 0.000 0.000 2.461
Cl 0.000 2.457 0.000
Cl 2.457 0.000 0.000
```

## Properties
**Space group**: P4/mmm, No. 123
**Volume**: 23.77 Å³ per atom
**Total DFT energy (no corrections)**: -4.906 eV per atom
**Total magnetic moment**: 0.0 μB/cell


A plane-wave DFT calculation with PBEsol was carried out for Ba3Cr2MoO9 after structural relaxation.

Structure (extended XYZ):
```
30
Lattice="5.659 0.000 0.000 -2.830 4.901 0.000 0.000 0.000 13.865" Properties=species:S:1:pos:R:3 pbc="T T T"
Ba 0.000 0.000 3.466
Ba 0.000 0.000 10.399
Ba 0.000 3.267 1.364
Ba 0.000 3.267 5.569
Ba 2.830 1.634 8.297
Ba 2.830 1.634 12.501
Cr 0.000 3.267 9.123
Cr 0.000 3.267 11.675
Cr 2.830 1.634 2.190
Cr 2.830 1.634 4.742
Mo 0.000 0.000 0.000
Mo 0.000 0.000 6.933
O -1.264 2.537 10.399
O 0.000 1.604 8.033
O 0.000 1.604 12.765
O -1.441 4.099 8.033
O -1.441 4.099 12.765
O 1.389 0.802 1.100
O 1.389 0.802 5.832
O 1.264 2.537 10.399
O 0.000 4.727 10.399
O 2.830 0.174 3.466
O 1.565 2.364 3.466
O 1.441 4.099 8.033
O 1.441 4.099 12.765
O 4.270 0.802 1.100
O 4.270 0.802 5.832
O 2.830 3.297 1.100
O 2.830 3.297 5.832
O 4.094 2.364 3.466
```

## Properties
**Space group**: P6_3/mmc, No. 194
**Volume**: 12.82 Å³ per atom
**Total DFT energy (no corrections)**: -8.201 eV per atom
**Total magnetic moment**: 10.8 μB/cell


A plane-wave DFT calculation with PBEsol was carried out for BaBeBr2 after structural relaxation.

Structure (extended XYZ):
```
4
Lattice="-2.309 2.309 5.298 2.309 -2.309 5.298 2.309 2.309 -5.298" Properties=species:S:1:pos:R:3 pbc="T T T"
Ba 0.000 0.000 0.000
Be 0.000 2.309 2.649
Br 2.309 0.000 2.649
Br 0.000 0.000 5.298
```

## Properties
**Space group**: I-4m2, No. 119
**Excess energy over the best structure of this formula in the dataset**: 20.3 kJ/mol of atoms
**Volume**: 28.25 Å³ per atom
**Total magnetic moment**: 0.0 μB/cell


A plane-wave DFT calculation with PBEsol was carried out for YSc3Al after structural relaxation.

Structure (extended XYZ):
```
5
Lattice="5.157 0.000 0.000 0.000 5.157 0.000 0.000 0.000 5.157" Properties=species:S:1:pos:R:3 pbc="T T T"
Y 0.000 0.000 0.000
Sc 0.000 2.578 2.578
Sc 2.578 0.000 2.578
Sc 2.578 2.578 0.000
Al 2.578 2.578 2.578
```

## Properties
**Space group**: Pm-3m, No. 221
**Excess energy over the best structure of this formula in the dataset**: 0.0 kJ/mol of atoms
**E_form**: 326 meV/atom
**Volume**: 27.43 Å³ per atom
**Total magnetic moment**: 0.0 μB/cell


Copy entry 3 word for word.
A plane-wave DFT calculation with PBEsol was carried out for LaBe2AuF after structural relaxation.

Structure (extended XYZ):
```
5
Lattice="5.810 0.000 0.000 0.000 5.810 0.000 0.000 0.000 5.506" Properties=species:S:1:pos:R:3 pbc="T T T"
La 0.000 0.000 0.000
Be 0.000 2.905 0.000
Be 2.905 0.000 0.000
Au 0.000 0.000 2.753
F 2.905 2.905 2.753
```

## Properties
**Space group**: P4/mmm, No. 123
**Volume**: 37.17 Å³ per atom
**Total DFT energy (no corrections)**: -2.495 eV per atom
**Total magnetic moment**: 0.0 μB/cell


Look up the volume of the eighth one.
27.43 Å³ per atom